(1)
LaBr2Cl after structural relaxation. Source: the Alexandria database, functional PBEsol.

Lattice parameters (Å, degrees): 7.418 7.418 4.376 90.00 90.00 136.32
Element x y z (fractional)
1 La 0.000 0.000 0.000
2 Br 0.141 0.859 0.500
3 Br 0.859 0.141 0.500
4 Cl 0.500 0.500 0.000

Computed properties:
- raw total energy (eV per atom) = -4.798
- density of states at the Fermi level (states/eV/f.u.) = 0.0
- formation energy without anion corrections (eV/atom) = -2.025


(2)
LaBr2Cl after structural relaxation. Source: the Alexandria database, functional PBEsol.

Lattice parameters (Å, degrees): 5.444 5.444 7.348 111.86 111.86 43.61
Element x y z (fractional)
1 La 0.000 0.000 0.000
2 Br 0.492 0.492 0.706
3 Br 0.663 0.663 0.295
4 Cl 0.296 0.296 0.001

Computed properties:
- raw total energy (eV per atom) = -4.817
- density of states at the Fermi level (states/eV/f.u.) = 0.0
- formation energy without anion corrections (eV/atom) = -2.044